Computed, not measured: a geometry-optimized K2VF structure at the GGA+U level of DFT.

Cell: 7.4356 7.4356 7.4356 Å, 115.11 115.11 98.70°
Positions (direct):
1 K 0.3750 0.0074 0.1324
2 K 0.7574 0.6250 0.6324
3 K 0.8750 0.2426 0.8676
4 K 0.9926 0.1250 0.3676
5 V 0.2500 0.7500 0.5000
6 V 0.5000 0.5000 0.0000
7 F 0.0000 0.0000 0.0000
8 F 0.7500 0.2500 0.5000

Computed properties:
- total magnetization (μB per cell) = 8.3
- excess energy over the best structure of this formula in the dataset (meV/atom) = 0